Density functional theory data (PBE-GGA) for a relaxed Pm2AgSn3 crystal.

The space group is Immm (No. 71) and the conventional cell measures 3.5485, 5.5526 and 17.3079 Å, with angles of 90.00, 90.00 and 90.00 degrees. Symmetry generates all atoms from Pm at (0.0000, 0.0000, 0.1568), Ag at (0.0000, 0.0000, 0.5000), Sn at (0.0000, 0.0000, 0.3386) and Sn at (0.0000, 0.5000, 0.5000).

The calculation puts the size of the total moment at 0.0 μB/f.u. As for the energy: -4.412 eV per atom. The calculated formation energy is -0.35 eV/atom.

Density functional theory data (PBE-GGA) for a relaxed Cs2AlIF6 crystal.

The space group is I4/mmm (No. 139) and the conventional cell measures 7.2192, 7.2192 and 8.2122 Å, with angles of 90.00, 90.00 and 90.00 degrees. Symmetry generates all atoms from Cs at (0.0000, 0.5000, 0.2500), Al at (0.0000, 0.0000, 0.0000), I at (0.0000, 0.0000, 0.5000), F at (0.0000, 0.0000, 0.2405) and F at (0.1753, 0.1753, 0.0000).

The calculation puts the size of the total moment at 0.0 μB/f.u. As for the energy: -4.514 eV per atom. The raw formation energy is -2.6916 eV per atom.

Density functional theory data (PBE-GGA) for a relaxed Ag3Hg2F8 crystal.

The space group is C2/m (No. 12) and the conventional cell measures 12.8049, 7.1851 and 5.4281 Å, with angles of 90.00, 112.71 and 90.00 degrees. Symmetry generates all atoms from Ag at (0.0000, 0.0000, 0.0000), Ag at (0.0000, 0.2527, 0.5000), Hg at (0.2309, 0.5000, 0.0429), F at (0.1133, 0.0000, 0.5399), F at (0.1147, 0.5000, 0.5715) and F at (0.1400, 0.2237, 0.0252).

The calculation puts the size of the total moment at 0.7 μB/f.u. As for the energy: -3.046 eV per atom. The raw formation energy is -1.1900 eV per atom.

Density functional theory data (PBE-GGA) for a relaxed Ba2CaPd3O6 crystal.

The space group is Fmmm (No. 69) and the conventional cell measures 8.9027, 11.6058 and 15.2146 Å, with angles of 90.00, 90.00 and 90.00 degrees. Symmetry generates all atoms from Ba at (0.0000, 0.2328, 0.0000), Ba at (0.2500, 0.2500, 0.2500), Ca at (0.0000, 0.0000, 0.3290), Pd at (0.1585, 0.0000, 0.1516), Pd at (0.1734, 0.0000, 0.5000), O at (0.0000, 0.1175, 0.1947) and O at (0.1868, 0.1169, 0.3983).

The calculation puts the size of the total moment at 0.0 μB/f.u. As for the energy: -5.927 eV per atom. The raw formation energy is -1.6626 eV per atom.

Density functional theory data (PBE-GGA) for a relaxed TbSmDyHg crystal.

The space group is P4mm (No. 99) and the conventional cell measures 3.6372, 3.6372 and 8.9037 Å, with angles of 90.00, 90.00 and 90.00 degrees. Symmetry generates all atoms from Tb at (0.0000, 0.0000, 0.0000), Sm at (0.5000, 0.5000, 0.2809), Dy at (0.0000, 0.0000, 0.5609) and Hg at (0.5000, 0.5000, 0.7784).

The calculation puts the size of the total moment at 0.0 μB/f.u. As for the energy: -3.793 eV per atom. The calculated formation energy is -0.23 eV/atom.

Density functional theory data (PBE-GGA) for a relaxed Ti5In2Pd crystal.

The space group is I4/mmm (No. 139) and the conventional cell measures 4.1292, 4.1292 and 16.7809 Å, with angles of 90.00, 90.00 and 90.00 degrees. Symmetry generates all atoms from Ti at (0.0000, 0.0000, 0.0000), Ti at (0.0000, 0.5000, 0.1162), In at (0.0000, 0.0000, 0.2503) and Pd at (0.0000, 0.0000, 0.5000).

The calculation puts the size of the total moment at 0.0 μB/f.u. As for the energy: -6.418 eV per atom. The calculated formation energy is -0.15 eV/atom.